Below is crystalline ErMgRuPt at its relaxed geometry, with properties calculated at the GGA-PBE level.

Properties
E_form = -0.616 eV/atom
Symmetry = F-43m, No. 216
Total moment = 0.0 μB per formula unit
Crystal system = cubic
Fermi-level density of states = 7.66 states/eV/cell

a = 6.567 Å, b = 6.567 Å, c = 6.567 Å
α = 90.00°, β = 90.00°, γ = 90.00°
Atoms (fractional coordinates):
1 Er 0.000 0.000 0.000
2 Er 0.000 0.500 0.500
3 Er 0.500 0.000 0.500
4 Er 0.500 0.500 0.000
5 Mg 0.000 0.000 0.500
6 Mg 0.000 0.500 0.000
7 Mg 0.500 0.000 0.000
8 Mg 0.500 0.500 0.500
9 Ru 0.250 0.250 0.250
10 Ru 0.250 0.750 0.750
11 Ru 0.750 0.250 0.750
12 Ru 0.750 0.750 0.250
13 Pt 0.250 0.250 0.750
14 Pt 0.250 0.750 0.250
15 Pt 0.750 0.250 0.250
16 Pt 0.750 0.750 0.750



Below is crystalline Ac2BiS2O2 at its relaxed geometry, with properties calculated at the GGA-PBE level.

Properties
ΔE_f (raw) = -2.0568 eV/atom
Symmetry = P-3m1, No. 164
Total moment = 0.0 μB per formula unit
Crystal system = trigonal
Fermi-level density of states = 2.36 states/eV/cell

a = 4.202 Å, b = 4.202 Å, c = 12.315 Å
α = 90.00°, β = 90.00°, γ = 120.00°
Atoms (fractional coordinates):
1 Ac 0.333 0.667 0.130
2 Ac 0.667 0.333 0.870
3 Bi 0.000 0.000 0.500
4 S 0.000 0.000 0.287
5 S 0.000 0.000 0.713
6 O 0.333 0.667 0.926
7 O 0.667 0.333 0.074



Below is crystalline TaNbOs4 at its relaxed geometry, with properties calculated at the GGA-PBE level.

Properties
E_form = 0.018 eV/atom
Symmetry = C2/m, No. 12
Excess energy over the best structure of this formula in the dataset = 0.09 eV per formula unit
Total moment = 0.0 μB per formula unit
Crystal system = monoclinic
Fermi-level density of states = 14.05 states/eV/cell

a = 9.414 Å, b = 2.796 Å, c = 7.823 Å
α = 90.00°, β = 114.46°, γ = 90.00°
Atoms (fractional coordinates):
1 Ta 0.000 0.000 0.000
2 Ta 0.500 0.500 0.000
3 Nb 0.000 0.000 0.500
4 Nb 0.500 0.500 0.500
5 Os 0.174 0.500 0.838
6 Os 0.175 0.500 0.337
7 Os 0.325 0.000 0.663
8 Os 0.326 0.000 0.162
9 Os 0.674 0.000 0.838
10 Os 0.675 0.000 0.337
11 Os 0.825 0.500 0.663
12 Os 0.826 0.500 0.162



Below is crystalline CeEuCuHg at its relaxed geometry, with properties calculated at the GGA-PBE level.

Properties
E_form = -0.175 eV/atom
Symmetry = F-43m, No. 216
Total moment = 8.0 μB per formula unit
Crystal system = cubic
Fermi-level density of states = 37.44 states/eV/cell

a = 7.481 Å, b = 7.481 Å, c = 7.481 Å
α = 90.00°, β = 90.00°, γ = 90.00°
Atoms (fractional coordinates):
1 Ce 0.000 0.000 0.000
2 Ce 0.000 0.500 0.500
3 Ce 0.500 0.000 0.500
4 Ce 0.500 0.500 0.000
5 Eu 0.000 0.000 0.500
6 Eu 0.000 0.500 0.000
7 Eu 0.500 0.000 0.000
8 Eu 0.500 0.500 0.500
9 Cu 0.250 0.250 0.750
10 Cu 0.250 0.750 0.250
11 Cu 0.750 0.250 0.250
12 Cu 0.750 0.750 0.750
13 Hg 0.250 0.250 0.250
14 Hg 0.250 0.750 0.750
15 Hg 0.750 0.250 0.750
16 Hg 0.750 0.750 0.250



Below is crystalline Zr3Al2 at its relaxed geometry, with properties calculated at the GGA-PBE level.

Properties
E_form = -0.403 eV/atom
Symmetry = P4_2/mnm, No. 136
Total moment = 0.0 μB per formula unit
Crystal system = tetragonal
Fermi-level density of states = 24.24 states/eV/cell

a = 7.655 Å, b = 7.655 Å, c = 7.001 Å
α = 90.00°, β = 90.00°, γ = 90.00°
Atoms (fractional coordinates):
1 Zr 0.000 0.500 0.250
2 Zr 0.000 0.500 0.750
3 Zr 0.157 0.157 0.000
4 Zr 0.200 0.200 0.500
5 Zr 0.300 0.700 0.000
6 Zr 0.343 0.657 0.500
7 Zr 0.500 0.000 0.250
8 Zr 0.500 0.000 0.750
9 Zr 0.657 0.343 0.500
10 Zr 0.700 0.300 0.000
11 Zr 0.800 0.800 0.500
12 Zr 0.843 0.843 0.000
13 Al 0.121 0.879 0.287
14 Al 0.121 0.879 0.713
15 Al 0.379 0.379 0.213
16 Al 0.379 0.379 0.787
17 Al 0.621 0.621 0.213
18 Al 0.621 0.621 0.787
19 Al 0.879 0.121 0.287
20 Al 0.879 0.121 0.713



Below is crystalline U3BiSe8 at its relaxed geometry, with properties calculated at the GGA-PBE level.

Properties
ΔE_f (raw) = -0.9259 eV/atom
Symmetry = P6_3mc, No. 186
Total moment = 5.0 μB per formula unit
Crystal system = hexagonal
Fermi-level density of states = 32.17 states/eV/cell

a = 8.342 Å, b = 8.342 Å, c = 13.040 Å
α = 90.00°, β = 90.00°, γ = 120.00°
Atoms (fractional coordinates):
1 U 0.166 0.332 0.000
2 U 0.166 0.834 0.000
3 U 0.332 0.166 0.500
4 U 0.668 0.834 0.000
5 U 0.834 0.166 0.500
6 U 0.834 0.668 0.500
7 Bi 0.333 0.667 0.249
8 Bi 0.667 0.333 0.749
9 Se 0.000 0.000 0.115
10 Se 0.000 0.000 0.615
11 Se 0.014 0.507 0.121
12 Se 0.160 0.319 0.389
13 Se 0.160 0.840 0.389
14 Se 0.319 0.160 0.889
15 Se 0.333 0.667 0.886
16 Se 0.493 0.507 0.121
17 Se 0.493 0.986 0.121
18 Se 0.507 0.014 0.621
19 Se 0.507 0.493 0.621
20 Se 0.667 0.333 0.386
21 Se 0.681 0.840 0.389
22 Se 0.840 0.160 0.889
23 Se 0.840 0.681 0.889
24 Se 0.986 0.493 0.621



Look up the total moment of the second one. 0.0 μB per formula unit



Among the records above, which one has the highest total moment? CeEuCuHg



What is the Fermi-level density of states in the third record? 14.05 states/eV/cell



Which of these has the highest Fermi-level density of states? CeEuCuHg